(1)
First-principles (PBE) data for an optimized crystal structure of TaSiAs2, as listed in Alexandria.

Energy relative to the elements, uncorrected ... 0.15 eV per atom
Theoretical density ... 7591 kg/m3
DFT total energy ... -6.50 eV/atom
Total moment ... 0.0 μB per cell

Lattice parameters (Å, degrees): 3.495 4.770 9.418 90.00 90.00 90.00
Fractional positions:
1 Ta 0.000 0.000 0.000
2 Ta 0.500 0.500 0.000
3 Si 0.000 0.500 0.790
4 Si 0.500 0.000 0.790
5 As 0.000 0.000 0.594
6 As 0.000 0.500 0.210
7 As 0.500 0.000 0.210
8 As 0.500 0.500 0.594

(2)
First-principles (PBE) data for an optimized crystal structure of TaSi2As, as listed in Alexandria.

Energy relative to the elements, uncorrected ... 0.17 eV per atom
Theoretical density ... 7663 kg/m3
DFT total energy ... -6.67 eV/atom
Total moment ... 0.0 μB per cell

Lattice parameters (Å, degrees): 3.712 4.730 7.702 90.00 90.00 90.00
Fractional positions:
1 Ta 0.000 0.000 0.000
2 Ta 0.500 0.500 0.000
3 Si 0.000 0.000 0.445
4 Si 0.000 0.500 0.238
5 Si 0.500 0.000 0.238
6 Si 0.500 0.500 0.445
7 As 0.000 0.500 0.750
8 As 0.500 0.000 0.750

(3)
First-principles (PBE) data for an optimized crystal structure of TaSiAs2, as listed in Alexandria.

Energy relative to the elements, uncorrected ... 0.36 eV per atom
Theoretical density ... 8315 kg/m3
DFT total energy ... -6.29 eV/atom
Total moment ... 0.0 μB per cell

Lattice parameters (Å, degrees): 3.731 3.731 5.149 90.00 90.00 90.00
Fractional positions:
1 Ta 0.000 0.000 0.000
2 Si 0.500 0.500 0.000
3 As 0.000 0.500 0.500
4 As 0.500 0.000 0.500

(4)
First-principles (PBE) data for an optimized crystal structure of TaSi2As, as listed in Alexandria.

Energy relative to the elements, uncorrected ... 0.14 eV per atom
Theoretical density ... 7667 kg/m3
DFT total energy ... -6.69 eV/atom
Total moment ... 0.0 μB per cell

Lattice parameters (Å, degrees): 9.075 3.331 4.476 90.00 92.31 90.00
Fractional positions:
1 Ta 0.000 0.000 0.000
2 Ta 0.500 0.500 0.000
3 Si 0.227 0.500 0.193
4 Si 0.273 0.000 0.807
5 Si 0.727 0.000 0.193
6 Si 0.773 0.500 0.807
7 As 0.000 0.500 0.500
8 As 0.500 0.000 0.500

(5)
First-principles (PBE) data for an optimized crystal structure of TaSiAs2, as listed in Alexandria.

Energy relative to the elements, uncorrected ... 0.06 eV per atom
Theoretical density ... 8002 kg/m3
DFT total energy ... -6.59 eV/atom
Total moment ... 0.0 μB per cell

Lattice parameters (Å, degrees): 2.966 2.966 29.334 90.00 90.00 120.00
Fractional positions:
1 Ta 0.000 0.000 0.000
2 Ta 0.333 0.667 0.667
3 Ta 0.667 0.333 0.333
4 Si 0.000 0.000 0.739
5 Si 0.333 0.667 0.405
6 Si 0.667 0.333 0.072
7 As 0.000 0.000 0.258
8 As 0.000 0.000 0.475
9 As 0.333 0.667 0.142
10 As 0.333 0.667 0.925
11 As 0.667 0.333 0.592
12 As 0.667 0.333 0.808

(6)
First-principles (PBE) data for an optimized crystal structure of TaSiAs2, as listed in Alexandria.

Energy relative to the elements, uncorrected ... 0.35 eV per atom
Theoretical density ... 6365 kg/m3
DFT total energy ... -6.29 eV/atom
Total moment ... 0.0 μB per cell

Lattice parameters (Å, degrees): 5.890 5.890 10.795 90.00 90.00 90.00
Fractional positions:
1 Ta 0.000 0.000 0.000
2 Ta 0.000 0.500 0.250
3 Ta 0.500 0.000 0.750
4 Ta 0.500 0.500 0.500
5 Si 0.000 0.000 0.500
6 Si 0.000 0.500 0.750
7 Si 0.500 0.000 0.250
8 Si 0.500 0.500 0.000
9 As 0.234 0.250 0.625
10 As 0.250 0.734 0.875
11 As 0.250 0.766 0.375
12 As 0.266 0.250 0.125
13 As 0.734 0.750 0.125
14 As 0.750 0.234 0.375
15 As 0.750 0.266 0.875
16 As 0.766 0.750 0.625

(7)
First-principles (PBE) data for an optimized crystal structure of TaSiAs, as listed in Alexandria.

Energy relative to the elements, uncorrected ... 0.51 eV per atom
Theoretical density ... 8364 kg/m3
DFT total energy ... -6.80 eV/atom
Total moment ... 0.0 μB per cell

Lattice parameters (Å, degrees): 6.087 6.087 6.087 90.00 90.00 90.00
Fractional positions:
1 Ta 0.000 0.000 0.000
2 Ta 0.000 0.500 0.500
3 Ta 0.500 0.000 0.500
4 Ta 0.500 0.500 0.000
5 Si 0.250 0.250 0.750
6 Si 0.250 0.750 0.250
7 Si 0.750 0.250 0.250
8 Si 0.750 0.750 0.750
9 As 0.000 0.000 0.500
10 As 0.000 0.500 0.000
11 As 0.500 0.000 0.000
12 As 0.500 0.500 0.500

(8)
First-principles (PBE) data for an optimized crystal structure of TaSiAs2, as listed in Alexandria.

Energy relative to the elements, uncorrected ... 0.07 eV per atom
Theoretical density ... 7355 kg/m3
DFT total energy ... -6.58 eV/atom
Total moment ... 0.0 μB per cell

Lattice parameters (Å, degrees): 8.846 3.427 5.350 90.00 92.49 90.00
Fractional positions:
1 Ta 0.000 0.000 0.000
2 Ta 0.500 0.500 0.000
3 Si 0.225 0.500 0.133
4 Si 0.725 0.000 0.133
5 As 0.008 0.500 0.378
6 As 0.282 0.000 0.800
7 As 0.508 0.000 0.378
8 As 0.782 0.500 0.800

(9)
First-principles (PBE) data for an optimized crystal structure of Ta2SiAs, as listed in Alexandria.

Energy relative to the elements, uncorrected ... -0.17 eV per atom
Theoretical density ... 11903 kg/m3
DFT total energy ... -8.61 eV/atom
Total moment ... 0.0 μB per cell

Lattice parameters (Å, degrees): 3.136 3.189 6.486 90.00 90.00 90.00
Fractional positions:
1 Ta 0.000 0.000 0.246
2 Ta 0.000 0.000 0.754
3 Si 0.500 0.500 0.000
4 As 0.500 0.500 0.500

(10)
First-principles (PBE) data for an optimized crystal structure of TaSi2As, as listed in Alexandria.

Energy relative to the elements, uncorrected ... 0.25 eV per atom
Theoretical density ... 7804 kg/m3
DFT total energy ... -6.59 eV/atom
Total moment ... 0.0 μB per cell

Lattice parameters (Å, degrees): 2.929 2.929 26.815 90.00 90.00 120.00
Fractional positions:
1 Ta 0.000 0.000 0.000
2 Ta 0.333 0.667 0.667
3 Ta 0.667 0.333 0.333
4 Si 0.000 0.000 0.254
5 Si 0.000 0.000 0.746
6 Si 0.333 0.667 0.413
7 Si 0.333 0.667 0.921
8 Si 0.667 0.333 0.079
9 Si 0.667 0.333 0.587
10 As 0.000 0.000 0.500
11 As 0.333 0.667 0.167
12 As 0.667 0.333 0.833

(11)
First-principles (PBE) data for an optimized crystal structure of TaSi2As, as listed in Alexandria.

Energy relative to the elements, uncorrected ... 0.26 eV per atom
Theoretical density ... 8048 kg/m3
DFT total energy ... -6.58 eV/atom
Total moment ... 0.0 μB per cell

Lattice parameters (Å, degrees): 3.824 3.824 8.804 90.00 90.00 90.00
Fractional positions:
1 Ta 0.000 0.000 0.000
2 Ta 0.500 0.500 0.500
3 Si 0.000 0.000 0.500
4 Si 0.000 0.500 0.250
5 Si 0.500 0.000 0.750
6 Si 0.500 0.500 0.000
7 As 0.000 0.500 0.750
8 As 0.500 0.000 0.250

(12)
First-principles (PBE) data for an optimized crystal structure of Ta2SiAs, as listed in Alexandria.

Energy relative to the elements, uncorrected ... 0.09 eV per atom
Theoretical density ... 10387 kg/m3
DFT total energy ... -8.36 eV/atom
Total moment ... 0.0 μB per cell

Lattice parameters (Å, degrees): 2.802 2.802 9.464 90.00 90.00 90.00
Fractional positions:
1 Ta 0.000 0.000 0.000
2 Ta 0.500 0.500 0.249
3 Si 0.500 0.500 0.787
4 As 0.000 0.000 0.469

(13)
First-principles (PBE) data for an optimized crystal structure of TaSiAs3, as listed in Alexandria.

Energy relative to the elements, uncorrected ... 0.66 eV per atom
Theoretical density ... 5806 kg/m3
DFT total energy ... -5.58 eV/atom
Total moment ... 0.0 μB per cell

Lattice parameters (Å, degrees): 4.988 4.988 4.988 90.00 90.00 90.00
Fractional positions:
1 Ta 0.000 0.000 0.000
2 Si 0.500 0.500 0.500
3 As 0.000 0.000 0.500
4 As 0.000 0.500 0.000
5 As 0.500 0.000 0.000

(14)
First-principles (PBE) data for an optimized crystal structure of Ta2SiAs, as listed in Alexandria.

Energy relative to the elements, uncorrected ... -0.10 eV per atom
Theoretical density ... 11406 kg/m3
DFT total energy ... -8.54 eV/atom
Total moment ... 0.0 μB per cell

Lattice parameters (Å, degrees): 2.889 4.825 4.959 90.00 101.78 90.00
Fractional positions:
1 Ta 0.000 0.000 0.000
2 Ta 0.269 0.500 0.681
3 Si 0.631 0.000 0.487
4 As 0.885 0.500 0.156

(15)
First-principles (PBE) data for an optimized crystal structure of TaSiAs2, as listed in Alexandria.

Energy relative to the elements, uncorrected ... 0.28 eV per atom
Theoretical density ... 7907 kg/m3
DFT total energy ... -6.36 eV/atom
Total moment ... 0.0 μB per cell

Lattice parameters (Å, degrees): 3.495 4.695 9.188 90.00 90.00 90.00
Fractional positions:
1 Ta 0.000 0.000 0.000
2 Ta 0.500 0.500 0.000
3 Si 0.000 0.000 0.500
4 Si 0.500 0.500 0.500
5 As 0.000 0.500 0.219
6 As 0.000 0.500 0.781
7 As 0.500 0.000 0.219
8 As 0.500 0.000 0.781